[1]
The following is a DFT calculation (meta-GGA SCAN) of a PBEsol-optimized structure of SrCa2P.

Summary:
- DOS(E_F): 2.03 states/eV per cell
- Space group: Amm2 (38)
- Formation energy: -0.69 eV per atom

abc: 4.008 4.696 7.574
angles: 108.06 90.00 90.00
Atoms (fractional coordinates):
Sr (0.500, 0.733, 0.466)
Ca (0.000, 0.075, 0.150)
Ca (0.500, 0.416, 0.832)
P (0.000, 0.272, 0.544)

---

[2]
The following is a DFT calculation (meta-GGA SCAN) of a PBEsol-optimized structure of TlHg2Ir.

Summary:
- DOS(E_F): 3.75 states/eV per cell
- Space group: F-43m (216)
- Formation energy: 0.69 eV per atom

abc: 4.803 4.803 4.803
angles: 60.00 60.00 60.00
Atoms (fractional coordinates):
Hg (0.000, 0.000, 0.000)
Hg (0.750, 0.750, 0.750)
Ir (0.500, 0.500, 0.500)
Tl (0.250, 0.250, 0.250)

---

[3]
The following is a DFT calculation (meta-GGA SCAN) of a PBEsol-optimized structure of YRhBr2.

Summary:
- DOS(E_F): 0.81 states/eV per cell
- Space group: R-3m (166)

abc: 3.804 3.804 8.597
angles: 77.22 77.22 60.00
Atoms (fractional coordinates):
Y (0.000, 0.000, 0.000)
Rh (0.500, 0.500, 0.500)
Br (0.890, 0.890, 0.330)
Br (0.110, 0.110, 0.670)

---

[4]
The following is a DFT calculation (meta-GGA SCAN) of a PBEsol-optimized structure of Li4Fe3P3O12F.

Summary:
- Space group: P-43n (218)

abc: 8.281 8.281 8.281
angles: 90.00 90.00 90.00
Atoms (fractional coordinates):
Li (0.143, 0.143, 0.143)
Li (0.143, 0.857, 0.857)
Li (0.357, 0.357, 0.643)
Li (0.357, 0.643, 0.357)
Li (0.643, 0.357, 0.357)
Li (0.643, 0.643, 0.643)
Li (0.857, 0.143, 0.857)
Li (0.857, 0.857, 0.143)
Fe (0.000, 0.500, 0.250)
Fe (0.000, 0.500, 0.750)
Fe (0.250, 0.000, 0.500)
Fe (0.500, 0.250, 0.000)
Fe (0.500, 0.750, 0.000)
Fe (0.750, 0.000, 0.500)
P (0.000, 0.250, 0.500)
P (0.000, 0.750, 0.500)
P (0.250, 0.500, 0.000)
P (0.500, 0.000, 0.250)
P (0.500, 0.000, 0.750)
P (0.750, 0.500, 0.000)
O (0.117, 0.355, 0.603)
O (0.117, 0.645, 0.397)
O (0.103, 0.145, 0.383)
O (0.103, 0.855, 0.617)
O (0.145, 0.383, 0.103)
O (0.145, 0.617, 0.897)
O (0.355, 0.397, 0.883)
O (0.355, 0.603, 0.117)
O (0.397, 0.117, 0.645)
O (0.397, 0.883, 0.355)
O (0.383, 0.103, 0.145)
O (0.383, 0.897, 0.855)
O (0.617, 0.103, 0.855)
O (0.617, 0.897, 0.145)
O (0.603, 0.117, 0.355)
O (0.603, 0.883, 0.645)
O (0.645, 0.397, 0.117)
O (0.645, 0.603, 0.883)
O (0.855, 0.383, 0.897)
O (0.855, 0.617, 0.103)
O (0.897, 0.145, 0.617)
O (0.897, 0.855, 0.383)
O (0.883, 0.355, 0.397)
O (0.883, 0.645, 0.603)
F (0.000, 0.000, 0.000)
F (0.500, 0.500, 0.500)

---

Number 1: energy -54.76 eV per formula unit. Number 2: energy -277.01 eV per formula unit. Number 3: energy -101.84 eV per formula unit. Number 4: energy -225.78 eV per formula unit.